1.
A relaxed CuNiAs2 crystal. Source: the Alexandria database, functional PBE-GGA.

Structure (POSCAR):
```
CuNiAs2
1.0
2.071 -2.075 0.000
2.071 2.075 0.000
0.000 0.000 6.858
Cu Ni As
1 1 2
Cartesian
0.000 0.000 0.000
0.000 0.000 3.429
2.071 0.000 1.823
2.071 0.000 5.035
```

Results
* calculated formation energy: 0.09 eV/atom
* uncorrected energy: -4.706 eV/atom

---

2.
A relaxed Dy5Bi2Os crystal. Source: the Alexandria database, functional PBE-GGA.

Structure (POSCAR):
```
Dy5Bi2Os
1.0
2.817 -7.740 0.000
2.817 7.740 0.000
0.000 0.000 14.617
Dy Bi Os
10 4 2
Cartesian
2.817 6.946 9.143
2.817 6.946 12.783
2.817 3.353 8.867
2.817 3.353 13.059
2.817 3.108 3.654
2.817 -3.108 10.963
2.817 -3.353 1.558
2.817 -3.353 5.751
2.817 -6.946 1.835
2.817 -6.946 5.474
2.817 5.490 0.948
2.817 5.490 6.361
2.817 -5.490 8.256
2.817 -5.490 13.670
2.817 5.017 10.963
2.817 -5.017 3.654
```

Results
* calculated formation energy: -0.16 eV/atom
* uncorrected energy: -5.415 eV/atom

---

3.
A relaxed ThZn2Au2 crystal. Source: the Alexandria database, functional PBE-GGA.

Structure (POSCAR):
```
ThZn2Au2
1.0
7.567 0.000 0.000
0.000 4.364 0.000
0.000 0.000 12.255
Th Zn Au
4 8 8
Cartesian
1.049 1.091 2.322
2.734 3.273 8.450
4.833 1.091 3.806
6.517 3.273 9.933
0.318 1.091 5.433
1.516 1.091 10.711
2.267 3.273 4.583
3.465 3.273 11.561
4.101 1.091 0.694
5.300 1.091 7.672
6.050 3.273 1.545
7.249 3.273 6.822
0.480 1.091 8.176
0.972 3.273 0.018
2.812 1.091 6.146
3.303 3.273 2.048
4.263 1.091 10.208
4.755 3.273 6.110
6.595 1.091 12.237
7.087 3.273 4.080
```

Results
* calculated formation energy: -0.48 eV/atom
* uncorrected energy: -3.787 eV/atom